Compound: CrWO4
Source: Alexandria via LeMat-Bulk
Functional: GGA+U
Structure: optimized geometry

Computed properties:
**Calculated density**: 7.352 Mg/m³
**D(E_F)**: 0.0000 states/eV/atom
**Electronic total energy**: -7.800 eV per atom
**Energy above the lowest structure with this stoichiometry**: 0.0 meV/atom

a = 3.1592 Å, b = 4.6297 Å, c = 4.6309 Å
α = 91.09°, β = 90.00°, γ = 90.00°
Each line ends with the local moment (μB).
Atoms (fractional coordinates):
W 0.5000 0.0000 0.0000  1.06
O 0.0000 0.1950 0.8052  -0.02
O 0.5000 0.6991 0.6990  -0.06
Cr 0.0000 0.5000 0.5000  3.01
O 0.5000 0.3009 0.3010  -0.06
O 0.0000 0.8050 0.1948  -0.02